GGA+U Ac2DyMoO8, relaxed; density of states at the Fermi level = 0.7973 states/eV/atom; electronic total energy = -7.52 eV per atom; size of the total moment = 0.60 μB per formula unit; space group = P2/m, No. 10
1.0
5.3601 0.0000 0.0000
0.0000 7.0704 0.0000
-0.1137 0.0000 5.3699
Ac Dy Mo O
2 1 1 8
Direct
0.0000 0.2447 0.0000 Ac
0.0000 0.7553 0.0000 Ac
0.5000 0.5000 0.5000 Dy
0.5000 0.0000 0.5000 Mo
0.2044 0.5000 0.2059 O
0.2418 0.0000 0.2458 O
0.3314 0.2108 0.6710 O
0.3314 0.7892 0.6710 O
0.6686 0.2108 0.3290 O
0.6686 0.7892 0.3290 O
0.7582 0.0000 0.7542 O
0.7956 0.5000 0.7941 O

***

GGA+U Ac2DyMo3O12, relaxed; electronic total energy = -7.55 eV per atom; size of the total moment = 3.00 μB per formula unit; space group = R-3m, No. 166
1.0
3.6850 2.1275 5.3265
-3.6850 2.1275 5.3265
0.0000 -4.2550 5.3265
Ac Dy Mo O
2 1 3 12
Direct
0.1159 0.1159 0.1159 Ac
0.8841 0.8841 0.8841 Ac
0.5000 0.5000 0.5000 Dy
0.0000 0.5000 0.5000 Mo
0.5000 0.0000 0.5000 Mo
0.5000 0.5000 0.0000 Mo
0.0651 0.6456 0.6456 O
0.2286 0.2286 0.6331 O
0.2286 0.6331 0.2286 O
0.3544 0.3544 0.9349 O
0.3544 0.9349 0.3544 O
0.3669 0.7714 0.7714 O
0.6331 0.2286 0.2286 O
0.6456 0.0651 0.6456 O
0.6456 0.6456 0.0651 O
0.7714 0.3669 0.7714 O
0.7714 0.7714 0.3669 O
0.9349 0.3544 0.3544 O

***

GGA+U Ac2DyMoO6, relaxed; density of states at the Fermi level = 0.0000 states/eV/atom; electronic total energy = -7.98 eV per atom; size of the total moment = 3.00 μB per formula unit; space group = P2_1/c, No. 14
1.0
5.9488 0.0000 0.0000
0.0000 6.1114 0.0000
-5.9018 0.0000 8.4922
Ac Dy Mo O
4 2 2 12
Direct
0.2366 0.0482 0.2495 Ac
0.2366 0.4518 0.7495 Ac
0.7634 0.5482 0.2505 Ac
0.7634 0.9518 0.7505 Ac
0.5000 0.0000 0.0000 Dy
0.5000 0.5000 0.5000 Dy
0.0000 0.0000 0.5000 Mo
0.0000 0.5000 0.0000 Mo
0.1411 0.2067 0.9449 O
0.1411 0.2933 0.4449 O
0.2368 0.6998 0.9439 O
0.2368 0.8002 0.4439 O
0.3495 0.0408 0.7450 O
0.3495 0.4592 0.2450 O
0.6505 0.5408 0.7550 O
0.6505 0.9592 0.2550 O
0.7632 0.1998 0.5561 O
0.7632 0.3002 0.0561 O
0.8589 0.7067 0.5551 O
0.8589 0.7933 0.0551 O

***

GGA+U AcDyMoO6, relaxed; density of states at the Fermi level = 0.0000 states/eV/atom; electronic total energy = -7.77 eV per atom; size of the total moment = 0.00 μB per formula unit; space group = P312, No. 149
1.0
5.5972 0.0000 0.0000
-2.7986 4.8473 0.0000
0.0000 0.0000 5.2367
Ac Dy Mo O
1 1 1 6
Direct
0.0000 0.0000 0.0000 Ac
0.3333 0.6667 0.5000 Dy
0.6667 0.3333 0.5000 Mo
0.3844 0.0390 0.7116 O
0.3844 0.3454 0.2884 O
0.6546 0.0390 0.2884 O
0.6546 0.6156 0.7116 O
0.9610 0.3454 0.7116 O
0.9610 0.6156 0.2884 O

***

GGA+U AcDyMo2O8, relaxed; electronic total energy = -7.64 eV per atom; size of the total moment = 2.00 μB per formula unit; space group = I-4, No. 82
1.0
-2.7042 2.7042 5.8111
2.7042 -2.7042 5.8111
2.7042 2.7042 -5.8111
Ac Dy Mo O
1 1 2 8
Direct
0.0000 0.0000 0.0000 Ac
0.2500 0.7500 0.5000 Dy
0.5000 0.5000 0.0000 Mo
0.7500 0.2500 0.5000 Mo
0.0205 0.0739 0.4282 O
0.2608 0.6486 0.0815 O
0.3514 0.4329 0.6122 O
0.4077 0.9795 0.0534 O
0.5671 0.1793 0.9185 O
0.6457 0.5923 0.5718 O
0.8207 0.7392 0.3878 O
0.9261 0.3543 0.9466 O